Material: SiRh3Pb
Method: DFT, PBE
State: relaxed

Computed properties:
- ΔE_f (raw): 0.04 eV per atom
- Mass density: 10.015 Mg/m³

Structure (CIF):
```
data_SiRh3Pb
_chemical_formula_sum 'Si1 Rh3 Pb1'
_cell_length_a 4.485
_cell_length_b 4.485
_cell_length_c 4.485
_cell_angle_alpha 90.00
_cell_angle_beta 90.00
_cell_angle_gamma 90.00
_symmetry_space_group_name_H-M 'P m -3 m'
_symmetry_Int_Tables_number 221
_symmetry_space_group_name_Hall '-P 4 2 3'
loop_
_atom_site_label
_atom_site_type_symbol
_atom_site_fract_x
_atom_site_fract_y
_atom_site_fract_z
Si1 Si 0.000 0.000 0.000
Rh1 Rh 0.000 0.000 0.500
Pb1 Pb 0.500 0.500 0.500
```